Compound: CsLa2NO
Source: Alexandria via LeMat-Bulk
Functional: PBE-GGA
Structure: relaxed

Computed properties:
formation energy (no corrections) = -0.41 eV/atom

abc: 4.823 4.823 6.132
angles: 90.00 90.00 90.00
Space group P4/mmm (No. 123)
Symmetry-distinct sites (fractional):
1 Cs 0.000 0.000 0.000 x1
2 La 0.000 0.500 0.500 x2
3 N 0.000 0.000 0.500 x1
4 O 0.500 0.500 0.000 x1